(1)
## Sm2DyI (PBE-GGA)

Data for Sm2DyI after structural relaxation.

## Properties
The value obtained for the uncorrected formation energy is -0.324 eV per atom. As for the relative energy among the computed polymorphs: 1.56 kcal/mol of atoms. As for the total magnetization: 0.0 Bohr magnetons per cell. The calculation puts the electronic total energy at -16.885 eV per cell.

Lattice parameters (Å, degrees): 3.6759 3.6759 9.6414 90.00 90.00 90.00
Space group P4/mmm (No. 123)
One atom of each set of equivalent atoms:
Sm 0.0000 0.0000 0.2432
Dy 0.5000 0.5000 0.5000
I 0.5000 0.5000 0.0000

---

(2)
## Sm2DyI (PBE-GGA)

Data for Sm2DyI after structural relaxation.

## Properties
The value obtained for the uncorrected formation energy is -0.072 eV per atom. As for the relative energy among the computed polymorphs: 7.36 kcal/mol of atoms. As for the total magnetization: 3.3 Bohr magnetons per cell. The calculation puts the electronic total energy at -47.637 eV per cell.

Lattice parameters (Å, degrees): 3.6310 3.6310 35.4848 90.00 90.00 120.00
Space group R-3m (No. 166, hexagonal axes)
One atom of each set of equivalent atoms:
Sm 0.0000 0.0000 0.0952
Dy 0.0000 0.0000 0.0000
I 0.0000 0.0000 0.5000

---

(3)
## SmDy2I (PBE-GGA)

Data for SmDy2I after structural relaxation.

## Properties
The value obtained for the uncorrected formation energy is -0.352 eV per atom. As for the relative energy among the computed polymorphs: 0.00 kcal/mol of atoms. As for the total magnetization: 0.0 Bohr magnetons per cell. The calculation puts the electronic total energy at -50.648 eV per cell.

Lattice parameters (Å, degrees): 3.7427 3.7427 31.5354 90.00 90.00 120.00
Space group R-3m (No. 166, hexagonal axes)
One atom of each set of equivalent atoms:
Sm 0.0000 0.0000 0.0000
Dy 0.0000 0.0000 0.2450
I 0.0000 0.0000 0.5000

---

(4)
## SmDyI6 (PBE-GGA)

Data for SmDyI6 after structural relaxation.

## Properties
The value obtained for the uncorrected formation energy is -1.359 eV per atom. As for the relative energy among the computed polymorphs: 0.00 kcal/mol of atoms. As for the total magnetization: 0.0 Bohr magnetons per cell. The calculation puts the electronic total energy at -58.986 eV per cell.

Lattice parameters (Å, degrees): 7.5362 14.4953 7.5347 90.00 108.30 90.00
Space group C2/m (No. 12)
One atom of each set of equivalent atoms:
Sm 0.0000 0.0000 0.0000
Dy 0.0000 0.5000 0.5000
I 0.2453 0.3523 0.7455
I 0.2479 0.5000 0.2523

---

(5)
## SmDyTeI (PBE-GGA)

Data for SmDyTeI after structural relaxation.

## Properties
The value obtained for the uncorrected formation energy is -0.994 eV per atom. As for the total magnetization: 0.0 Bohr magnetons per cell. The calculation puts the electronic total energy at -71.956 eV per cell.

Lattice parameters (Å, degrees): 7.6157 7.6157 7.6157 90.00 90.00 90.00
Space group F-43m (No. 216)
One atom of each set of equivalent atoms:
Sm 0.0000 0.0000 0.0000
Dy 0.0000 0.0000 0.5000
Te 0.2500 0.2500 0.2500
I 0.2500 0.2500 0.7500

---

(6)
## Dy7SnI12 (PBE-GGA)

Data for Dy7SnI12 after structural relaxation.

## Properties
The value obtained for the uncorrected formation energy is -1.175 eV per atom. As for the total magnetization: 0.0 Bohr magnetons per cell. The calculation puts the electronic total energy at -234.983 eV per cell.

Lattice parameters (Å, degrees): 15.8456 15.8456 10.4367 90.00 90.00 120.00
Space group R-3 (No. 148, hexagonal axes)
One atom of each set of equivalent atoms:
Dy 0.0000 0.0000 0.0000
Dy 0.0487 0.1686 0.3419
Sn 0.0000 0.0000 0.5000
I 0.0230 0.5874 0.1657
I 0.0519 0.1827 0.8390

---

(7)
## Dy2SnI3 (PBE-GGA)

Data for Dy2SnI3 after structural relaxation.

## Properties
The value obtained for the uncorrected formation energy is -0.996 eV per atom. As for the total magnetization: 0.0 Bohr magnetons per cell. The calculation puts the electronic total energy at -95.332 eV per cell.

Lattice parameters (Å, degrees): 21.4526 4.0666 15.2835 90.00 131.86 90.00
Space group C2/m (No. 12)
One atom of each set of equivalent atoms:
Dy 0.0971 0.0000 0.2447
Dy 0.1270 0.5000 0.9250
Sn 0.0733 0.0000 0.0148
I 0.0394 0.5000 0.3355
I 0.1868 0.0000 0.8385
I 0.2369 0.5000 0.3558

---

(8)
## DyTlSnI6 (PBE-GGA)

Data for DyTlSnI6 after structural relaxation.

## Properties
The value obtained for the uncorrected formation energy is -0.938 eV per atom. As for the total magnetization: 0.0 Bohr magnetons per cell. The calculation puts the electronic total energy at -57.426 eV per cell.

Lattice parameters (Å, degrees): 8.0314 8.0314 15.2202 90.00 90.00 120.00
Space group P-31c (No. 163)
One atom of each set of equivalent atoms:
Dy 0.3333 0.6667 0.2500
Tl 0.0000 0.0000 0.0000
Sn 0.3333 0.6667 0.7500
I 0.0145 0.3696 0.1336